No. 1
First-principles (GGA-PBE) data for Ta4Te after structural relaxation, as listed in Alexandria via LeMat-Bulk.

Unit cell a=4.9173 b=4.9173 c=4.9173 alpha=90.00 beta=90.00 gamma=90.00
Sites, in units of the cell vectors:
Te1 0.5000 0.5000 0.5000
Ta1 0.0000 0.0000 0.0000
Ta2 0.5000 0.0000 0.5000
Ta3 0.0000 0.5000 0.5000
Ta4 0.5000 0.5000 0.0000

Uncorrected formation energy = 1.871 eV/atom
Space-group type = No. 221
Energy relative to the lowest polymorph listed for this composition = 1789.5 meV/atom

***

No. 2
First-principles (GGA-PBE) data for LaFeMo2 after structural relaxation, as listed in Alexandria via LeMat-Bulk.

Unit cell a=4.1036 b=2.9506 c=6.4897 alpha=79.84 beta=90.00 gamma=90.00
Last column: magnetic moment on the atom in μB.
Sites, in units of the cell vectors:
Fe1 0.0000 0.5160 0.4257  2.06
La1 0.5000 0.7568 0.7421  -0.10
Mo1 0.0000 0.9953 0.0733  0.07
Mo2 0.5000 0.2319 0.2589  -0.17

Space-group type = No. 6
Energy relative to the lowest polymorph listed for this composition = 19.9 meV/atom
DFT formation energy = 0.47 eV per atom

***

D(E_F) (states/eV/cell)
4.2 4.8